Y4Fe4Co12B3C (GGA-PBE, optimized geometry); E_form = -0.283 eV/atom; mass density = 7.4 g cm⁻³; M_tot = 0.7236 μB/atom; space-group type = P-6m2 (187)
1.0
5.060 0.000 0.000
-2.530 4.382 0.000
0.000 0.000 13.497
Y Fe Co B C
4 4 12 3 1
Cartesian
0.000 0.000 0.000
0.000 0.000 3.361
0.000 0.000 6.749
0.000 0.000 10.137
0.000 2.921 3.365
0.000 2.921 10.132
2.530 1.461 3.339
2.530 1.461 10.158
3.794 2.190 5.308
3.794 2.190 8.189
-1.249 2.201 1.369
-1.249 2.201 12.128
1.249 2.201 1.369
1.249 2.201 12.128
0.000 4.363 1.369
0.000 4.363 12.128
2.530 0.001 5.308
2.530 0.001 8.189
1.266 2.190 5.308
1.266 2.190 8.189
0.000 2.921 6.749
2.530 1.461 0.000
2.530 1.461 6.749
0.000 2.921 0.000